Record 1
Here is crystalline RbS at its relaxed geometry from the Alexandria database. Energies are from PBE.

Output
- Formation energy without anion corrections: -1.8 eV per formula unit
- Calculated volume: 35.9 Å³/atom
- Total magnetic moment: 0.00 μB/f.u.

Cell: 8.9717 8.9717 6.1814 Å, 90.00 90.00 120.00°
Last column: nearest neighbours and their distance in Å.
Positions (direct):
Rb (0.0000, 0.3039, 0.0000)  6 S 3.31-3.40
Rb (0.0000, 0.6407, 0.5000)  6 S 3.39-3.52
Rb (0.3039, 0.0000, 0.0000)  6 S 3.31-3.40
Rb (0.3593, 0.3593, 0.5000)  6 S 3.39-3.52
Rb (0.6407, 0.0000, 0.5000)  6 S 3.39-3.52
Rb (0.6961, 0.6961, 0.0000)  6 S 3.31-3.40
S (0.0000, 0.0000, 0.3277)  1 S 2.13
S (0.0000, 0.0000, 0.6723)  1 S 2.13
S (0.3333, 0.6667, 0.1733)  1 S 2.14
S (0.3333, 0.6667, 0.8267)  1 S 2.14
S (0.6667, 0.3333, 0.1733)  1 S 2.14
S (0.6667, 0.3333, 0.8267)  1 S 2.14


Record 2
Here is crystalline Np2Zn3Ir2 at its relaxed geometry from the Alexandria database. Energies are from PBE.

Output
- ΔE_f: -216.8 meV/atom
- Calculated volume: 18.5 Å³/atom
- Total magnetic moment: 7.44 μB/f.u.

Cell: 9.5659 4.2178 6.8877 Å, 90.00 110.89 90.00°
Last column: nearest neighbours and their distance in Å.
Positions (direct):
Np (0.1433, 0.0000, 0.2732)  4 Ir 2.86-2.91, 3 Zn 3.06-3.08
Np (0.3567, 0.5000, 0.7268)  4 Ir 2.86-2.91, 3 Zn 3.06-3.08
Np (0.6433, 0.5000, 0.2732)  4 Ir 2.86-2.91, 3 Zn 3.06-3.08
Np (0.8567, 0.0000, 0.7268)  4 Ir 2.86-2.91, 3 Zn 3.06-3.08
Zn (0.0000, 0.5000, 0.5000)  4 Ir 2.63, 2 Zn 2.82
Zn (0.1245, 0.5000, 0.9385)  3 Ir 2.68-2.74, 2 Zn 2.80-2.82
Zn (0.3755, 0.0000, 0.0615)  3 Ir 2.68-2.74, 2 Zn 2.80-2.82
Zn (0.5000, 0.0000, 0.5000)  4 Ir 2.63, 2 Zn 2.82
Zn (0.6245, 0.0000, 0.9385)  3 Ir 2.68-2.74, 2 Zn 2.80-2.82
Zn (0.8755, 0.5000, 0.0615)  3 Ir 2.68-2.74, 2 Zn 2.80-2.82
Ir (0.1473, 0.0000, 0.6970)  5 Zn 2.63-2.74, 4 Np 2.86-2.91
Ir (0.3527, 0.5000, 0.3030)  5 Zn 2.63-2.74, 4 Np 2.86-2.91
Ir (0.6473, 0.5000, 0.6970)  5 Zn 2.63-2.74, 4 Np 2.86-2.91
Ir (0.8527, 0.0000, 0.3030)  5 Zn 2.63-2.74, 4 Np 2.86-2.91


Record 3
Here is crystalline RbTiW2 at its relaxed geometry from the Alexandria database. Energies are from PBE.

Output
- ΔE_f: 2066.9 meV/atom
- Energy above the most stable polymorph in this dataset: 0.30 eV per formula unit
- Calculated volume: 19.1 Å³/atom
- Total magnetic moment: 0.00 μB/f.u.

Cell: 6.7407 6.7407 6.7407 Å, 90.00 90.00 90.00°
Last column: nearest neighbours and their distance in Å.
Positions (direct):
Rb (0.0000, 0.0000, 0.0000)  8 W 2.92
Rb (0.0000, 0.5000, 0.5000)  8 W 2.92
Rb (0.5000, 0.0000, 0.5000)  8 W 2.92
Rb (0.5000, 0.5000, 0.0000)  8 W 2.92
Ti (0.0000, 0.0000, 0.5000)  8 W 2.92
Ti (0.0000, 0.5000, 0.0000)  8 W 2.92
Ti (0.5000, 0.0000, 0.0000)  8 W 2.92
Ti (0.5000, 0.5000, 0.5000)  8 W 2.92
W (0.2500, 0.2500, 0.2500)  4 Rb 2.92, 4 Ti 2.92
W (0.2500, 0.2500, 0.7500)  4 Rb 2.92, 4 Ti 2.92
W (0.2500, 0.7500, 0.2500)  4 Rb 2.92, 4 Ti 2.92
W (0.2500, 0.7500, 0.7500)  4 Rb 2.92, 4 Ti 2.92
W (0.7500, 0.2500, 0.2500)  4 Rb 2.92, 4 Ti 2.92
W (0.7500, 0.2500, 0.7500)  4 Rb 2.92, 4 Ti 2.92
W (0.7500, 0.7500, 0.2500)  4 Rb 2.92, 4 Ti 2.92
W (0.7500, 0.7500, 0.7500)  4 Rb 2.92, 4 Ti 2.92


Number 1: raw total energy -41.5 eV for the cell shown. Number 2: raw total energy -97.9 eV for the cell shown. Number 3: raw total energy -106.0 eV for the cell shown.